Entry 1:
NaLi2CrBr6 after structural relaxation. Source: Alexandria via LeMat-Bulk, functional PBE.

Calculated values
total energy	-0.1349	hartree per atom
crystal system	monoclinic

abc: 12.626 12.149 7.176
angles: 90.00 97.30 90.00
Space group C2/c (No. 15)
Symmetry-distinct sites (fractional):
Na: 0.000 0.084 0.250 (multiplicity 4)
Li: 0.167 0.406 0.300 (multiplicity 8)
Cr: 0.000 0.261 0.750 (multiplicity 4)
Br: 0.110 0.255 0.067 (multiplicity 8)
Br: 0.120 0.110 0.638 (multiplicity 8)
Br: 0.124 0.406 0.641 (multiplicity 8)


Entry 2:
PrNd2Dy2Y2 after structural relaxation. Source: Alexandria via LeMat-Bulk, functional PBE.

Calculated values
DOS at the Fermi energy	9.64	states/eV/f.u.
formation energy from the elements	0.02	eV per atom
crystal system	monoclinic

abc: 11.399 5.115 8.100
angles: 90.00 97.98 90.00
Space group C2/m (No. 12)
Symmetry-distinct sites (fractional):
Pr: 0.000 0.000 0.000 (multiplicity 2)
Nd: 0.072 0.500 0.712 (multiplicity 4)
Dy: 0.143 0.000 0.430 (multiplicity 4)
Y: 0.214 0.500 0.146 (multiplicity 4)


Entry 3:
AcGaF2 after structural relaxation. Source: Alexandria via LeMat-Bulk, functional PBE.

Calculated values
total energy	-0.1805	hartree per atom
DOS at the Fermi energy	0.17	states/eV/f.u.
crystal system	trigonal

abc: 4.5635 4.5635 12.9110
angles: 90.00 90.00 120.00
Space group R-3m (No. 166, hexagonal axes)
Symmetry-distinct sites (fractional):
Ac: 0.0000 0.0000 0.0000 (multiplicity 3)
Ga: 0.0000 0.0000 0.5000 (multiplicity 3)
F: 0.0000 0.0000 0.1933 (multiplicity 6)


Entry 4:
AcPmTcN4 after structural relaxation. Source: Alexandria via LeMat-Bulk, functional PBE.

Calculated values
total energy	-0.3032	hartree per atom
DOS at the Fermi energy	3.88	states/eV/f.u.
crystal system	tetragonal

abc: 3.923 3.923 13.029
angles: 90.00 90.00 90.00
Space group I4mm (No. 107)
Symmetry-distinct sites (fractional):
Ac: 0.000 0.000 0.000 (multiplicity 2)
Pm: 0.000 0.000 0.708 (multiplicity 2)
Tc: 0.000 0.000 0.348 (multiplicity 2)
N: 0.000 0.000 0.191 (multiplicity 2)
N: 0.000 0.000 0.524 (multiplicity 2)
N: 0.000 0.500 0.349 (multiplicity 4)


Entry 5:
Tb3Y2Tl2 after structural relaxation. Source: Alexandria via LeMat-Bulk, functional PBE.

Calculated values
DOS at the Fermi energy	6.75	states/eV/f.u.
formation energy from the elements	-0.08	eV per atom
crystal system	orthorhombic

abc: 4.971 23.720 3.503
angles: 90.00 90.00 90.00
Space group Cmmm (No. 65)
Symmetry-distinct sites (fractional):
Tb: 0.000 0.000 0.000 (multiplicity 2)
Tb: 0.000 0.144 0.000 (multiplicity 4)
Y: 0.000 0.286 0.500 (multiplicity 4)
Tl: 0.000 0.427 0.500 (multiplicity 4)


Entry 6:
Ta2CrCu after structural relaxation. Source: Alexandria via LeMat-Bulk, functional PBE.

Calculated values
DOS at the Fermi energy	2.88	states/eV/f.u.
formation energy from the elements	0.08	eV per atom
crystal system	tetragonal

abc: 4.355 4.355 3.172
angles: 90.00 90.00 90.00
Space group P4/mmm (No. 123)
Symmetry-distinct sites (fractional):
Ta: 0.000 0.500 0.000 (multiplicity 2)
Cr: 0.000 0.000 0.500 (multiplicity 1)
Cu: 0.500 0.500 0.500 (multiplicity 1)


Entry 7:
BaNa2Sr12 after structural relaxation. Source: Alexandria via LeMat-Bulk, functional PBE.

Calculated values
DOS at the Fermi energy	16.78	states/eV/f.u.
formation energy from the elements	0.24	eV per atom
crystal system	tetragonal

abc: 7.560 7.560 31.947
angles: 90.00 90.00 90.00
Space group P4/nbm (No. 125, origin choice 2)
Symmetry-distinct sites (fractional):
Ba: 0.250 0.750 0.000 (multiplicity 2)
Na: 0.250 0.750 0.278 (multiplicity 4)
Sr: 0.052 0.552 0.115 (multiplicity 8)
Sr: 0.070 0.570 0.443 (multiplicity 8)
Sr: 0.250 0.250 0.216 (multiplicity 4)
Sr: 0.250 0.250 0.343 (multiplicity 4)


Entry 8:
CaTi2Ir after structural relaxation. Source: Alexandria via LeMat-Bulk, functional PBE.

Calculated values
DOS at the Fermi energy	4.56	states/eV/f.u.
formation energy from the elements	0.03	eV per atom
crystal system	tetragonal

abc: 7.668 7.668 5.837
angles: 90.00 90.00 90.00
Space group I-42d (No. 122)
Symmetry-distinct sites (fractional):
Ca: 0.000 0.000 0.000 (multiplicity 4)
Ti: 0.182 0.750 0.625 (multiplicity 8)
Ir: 0.000 0.000 0.500 (multiplicity 4)


Entry 9:
CsRbTa3 after structural relaxation. Source: Alexandria via LeMat-Bulk, functional PBE.

Calculated values
DOS at the Fermi energy	5.22	states/eV/f.u.
formation energy from the elements	3.50	eV per atom
crystal system	cubic

abc: 5.171 5.171 5.171
angles: 90.00 90.00 90.00
Space group Pm-3m (No. 221)
Symmetry-distinct sites (fractional):
Cs: 0.000 0.000 0.000 (multiplicity 1)
Rb: 0.500 0.500 0.500 (multiplicity 1)
Ta: 0.000 0.500 0.500 (multiplicity 3)


Entry 10:
MnGe2Ir after structural relaxation. Source: Alexandria via LeMat-Bulk, functional PBE.

Calculated values
DOS at the Fermi energy	1.18	states/eV/f.u.
formation energy from the elements	-0.03	eV per atom
crystal system	cubic

abc: 6.024 6.024 6.024
angles: 90.00 90.00 90.00
Space group Fm-3m (No. 225)
Symmetry-distinct sites (fractional):
Mn: 0.000 0.000 0.000 (multiplicity 4)
Ge: 0.250 0.250 0.250 (multiplicity 8)
Ir: 0.000 0.000 0.500 (multiplicity 4)


Entry 11:
Li2PuMn3S6 after structural relaxation. Source: Alexandria via LeMat-Bulk, functional PBE.

Calculated values
total energy	-0.2519	hartree per atom
DOS at the Fermi energy	8.78	states/eV/f.u.
crystal system	monoclinic

abc: 6.401 11.108 6.465
angles: 90.00 109.33 90.00
Space group C2/m (No. 12)
Symmetry-distinct sites (fractional):
Li: 0.000 0.167 0.000 (multiplicity 4)
Pu: 0.000 0.500 0.000 (multiplicity 2)
Mn: 0.000 0.000 0.500 (multiplicity 2)
Mn: 0.000 0.337 0.500 (multiplicity 4)
S: 0.244 0.169 0.732 (multiplicity 8)
S: 0.248 0.000 0.263 (multiplicity 4)


Entry 12:
Pu10As3P3 after structural relaxation. Source: Alexandria via LeMat-Bulk, functional PBE.

Calculated values
DOS at the Fermi energy	73.00	states/eV/f.u.
formation energy from the elements	-0.70	eV per atom
crystal system	hexagonal

abc: 8.4871 8.4871 5.9461
angles: 90.00 90.00 120.00
Space group P-62m (No. 189)
Symmetry-distinct sites (fractional):
Pu: 0.0000 0.2496 0.0000 (multiplicity 3)
Pu: 0.0000 0.7358 0.5000 (multiplicity 3)
Pu: 0.3333 0.6667 0.2574 (multiplicity 4)
As: 0.0000 0.6100 0.0000 (multiplicity 3)
P: 0.0000 0.3765 0.5000 (multiplicity 3)


| no. | calculated density (Mg/m³) |
| --- | --- |
| 1 | 3.46 |
| 2 | 6.62 |
| 3 | 7.16 |
| 4 | 8.71 |
| 5 | 8.55 |
| 6 | 13.18 |
| 7 | 2.25 |
| 8 | 6.35 |
| 9 | 9.14 |
| 10 | 11.92 |
| 11 | 4.71 |
| 12 | 12.35 |